Compound: SrCd2ClF
Source: the Alexandria database
Functional: GGA-PBE
Structure: optimized geometry

* V: 247.4 Å³/cell
* uncorrected formation energy: -0.6864 eV per atom
* magnetic moment: 0.014 μB per atom

abc: 6.7684 6.7684 5.4011
angles: 90.00 90.00 90.00
Space group P4/mmm (No. 123)
One atom of each set of equivalent atoms:
Sr 0.0000 0.0000 0.0000
Cd 0.0000 0.5000 0.0000
Cl 0.0000 0.0000 0.5000
F 0.5000 0.5000 0.5000

=====

Compound: La3CoCl
Source: the Alexandria database
Functional: GGA-PBE
Structure: optimized geometry

* V: 159.6 Å³/cell
* excess energy over the best structure of this formula in the dataset: 354 meV/atom
* uncorrected formation energy: -0.2949 eV per atom
* magnetic moment: 0.000 μB per atom

abc: 5.4240 5.4240 5.4240
angles: 90.00 90.00 90.00
Space group Pm-3m (No. 221)
One atom of each set of equivalent atoms:
La 0.0000 0.0000 0.5000
Co 0.0000 0.0000 0.0000
Cl 0.5000 0.5000 0.5000

=====

Compound: DyAg3Pd6
Source: the Alexandria database
Functional: GGA-PBE
Structure: optimized geometry

* V: 342.5 Å³/cell
* magnetic moment: 0.000 μB per atom
* ΔE_f: -29 kJ/mol of atoms

abc: 8.9026 4.1803 9.2159
angles: 90.00 92.86 90.00
Space group P2_1/m (No. 11)
One atom of each set of equivalent atoms:
Dy 0.0678 0.2500 0.3736
Ag 0.2515 0.2500 0.0034
Ag 0.3427 0.7500 0.8048
Ag 0.4465 0.2500 0.6008
Pd 0.0489 0.7500 0.9077
Pd 0.1446 0.2500 0.6996
Pd 0.1607 0.7500 0.1974
Pd 0.2491 0.7500 0.5028
Pd 0.3633 0.2500 0.2973
Pd 0.4538 0.7500 0.1000